Entry 1:
Th2Ni4Ir5 (PBE, optimized geometry); ΔH_f (0 K) = -4.36 eV/f.u.
1.0
-2.252 3.540 3.181
-4.637 2.037 -1.192
-4.757 -4.147 5.606
Ir Ni Th
5 4 2
Cartesian
-3.445 2.788 0.994
-6.387 1.600 4.592
-2.319 1.018 -0.596
-1.126 1.770 1.590
-5.260 -0.170 3.002
-5.538 2.213 2.331
-8.447 1.079 5.893
-3.200 0.351 1.701
-6.109 -0.783 5.263
-3.825 -2.629 4.575
-3.184 2.022 4.211

=====

Entry 2:
IrRuSe2 (PBE, optimized geometry); energy above the most stable polymorph in this dataset = 258 meV per atom; energy relative to the elements, uncorrected = 0.307 eV per atom
1.0
4.347 0.002 0.001
3.267 2.867 0.001
1.051 0.396 5.152
Ru Ir Se
1 1 2
Cartesian
2.166 0.816 1.288
6.499 2.449 3.865
4.442 1.674 2.542
7.504 2.828 0.037

=====

Entry 3:
CeMgPd14 (PBE, optimized geometry); ΔH_f (0 K) = -5.34 eV/f.u.
1.0
-3.760 -3.880 -1.850
2.151 0.430 -5.273
5.148 -5.765 1.630
Pd Ce Mg
14 1 1
Cartesian
-0.603 -1.294 -2.671
2.135 -1.646 -3.119
2.875 -6.493 -3.212
1.067 -1.860 -0.500
3.047 -3.961 -4.493
1.807 -6.707 -0.593
3.674 -4.780 0.325
0.472 -1.079 -5.308
4.743 -4.566 -2.293
-0.801 -3.787 -1.419
-2.483 -3.234 -3.596
0.268 -3.573 -4.038
-1.407 -3.019 -6.233
0.091 -6.117 -2.781
1.167 -5.902 -5.418
1.971 -4.177 -1.856

=====

Entry 4:
AgGe2RuSe (PBE, optimized geometry); energy relative to the elements, uncorrected = 0.415 eV per atom
1.0
4.671 0.000 0.000
0.000 4.671 0.000
0.000 0.000 5.466
Se Ge Ag Ru
1 2 1 1
Cartesian
0.000 0.000 2.733
0.000 2.335 0.000
2.335 0.000 0.000
2.335 2.335 2.733
0.000 0.000 0.000

=====

Entry 5:
CsZn2Te2 (PBE, optimized geometry); energy above the most stable polymorph in this dataset = 416 meV per atom; energy relative to the elements, uncorrected = -0.094 eV per atom
1.0
-7.071 4.705 3.556
-5.202 -2.359 -7.222
-1.172 -3.186 1.885
Cs Te Zn
2 4 4
Cartesian
-6.136 1.173 -1.833
0.000 0.000 0.000
-9.407 2.528 -1.577
-7.004 -0.338 -4.926
-2.865 -0.182 -2.089
-5.268 2.684 1.260
-3.925 0.017 1.588
-8.968 1.686 1.273
-4.476 -2.526 -3.054
-9.519 -0.857 -3.369

=====

Entry 6:
Tb2SbPb (PBE, optimized geometry); energy above the most stable polymorph in this dataset = 143 meV per atom; energy relative to the elements, uncorrected = -0.682 eV per atom
1.0
-0.465 -2.519 -3.316
-2.722 -3.183 0.152
-6.954 3.000 -3.951
Tb Sb Pb
2 1 1
Cartesian
-2.404 -0.785 -1.714
-5.615 1.886 -3.293
-9.059 -0.817 -6.051
-5.086 -1.338 -3.565